*a*
Entry from Alexandria via LeMat-Bulk: a relaxed structure of HfRhSe2 (PBE).

```
data_HfRhSe2
_chemical_formula_sum 'Hf4 Rh4 Se8'
_symmetry_space_group_name_H-M 'F m -3 m'
_symmetry_Int_Tables_number 225
_symmetry_space_group_name_Hall '-F 4 2 3'
_cell_length_a 6.533
_cell_length_b 6.533
_cell_length_c 6.533
_cell_angle_alpha 90.00
_cell_angle_beta 90.00
_cell_angle_gamma 90.00
loop_
_atom_site_label
_atom_site_type_symbol
_atom_site_fract_x
_atom_site_fract_y
_atom_site_fract_z
Hf1 Hf 0.000 0.000 0.000
Rh1 Rh 0.000 0.000 0.500
Se1 Se 0.250 0.250 0.250
```

---

*b*
Entry from Alexandria via LeMat-Bulk: a relaxed structure of HfRhSe2 (PBE).

```
data_HfRhSe2
_chemical_formula_sum 'Hf3 Rh3 Se6'
_symmetry_space_group_name_H-M 'R -3 m'
_symmetry_Int_Tables_number 166
_symmetry_space_group_name_Hall '-R 3 2"'
_cell_length_a 3.5820
_cell_length_b 3.5820
_cell_length_c 24.4138
_cell_angle_alpha 90.00
_cell_angle_beta 90.00
_cell_angle_gamma 120.00
loop_
_atom_site_label
_atom_site_type_symbol
_atom_site_fract_x
_atom_site_fract_y
_atom_site_fract_z
Hf1 Hf 0.0000 0.0000 0.0000
Rh1 Rh 0.0000 0.0000 0.5000
Se1 Se 0.0000 0.0000 0.4017
```

---

*c*
Entry from Alexandria via LeMat-Bulk: a relaxed structure of HfRhSe2 (PBE).

```
data_HfRhSe2
_chemical_formula_sum 'Hf4 Rh4 Se8'
_symmetry_space_group_name_H-M 'I -4 2 d'
_symmetry_Int_Tables_number 122
_symmetry_space_group_name_Hall 'I -4 2bw'
_cell_length_a 4.693
_cell_length_b 4.693
_cell_length_c 15.385
_cell_angle_alpha 90.00
_cell_angle_beta 90.00
_cell_angle_gamma 90.00
loop_
_atom_site_label
_atom_site_type_symbol
_atom_site_fract_x
_atom_site_fract_y
_atom_site_fract_z
Hf1 Hf 0.000 0.000 0.000
Rh1 Rh 0.000 0.000 0.500
Se1 Se 0.229 0.250 0.625
```

---

Name the least stable of them. *b*.

---

*a*
Entry from Alexandria via LeMat-Bulk: a relaxed structure of HfSn3Rh (PBE).

```
data_HfSn3Rh
_chemical_formula_sum 'Hf1 Sn3 Rh1'
_symmetry_space_group_name_H-M 'P m -3 m'
_symmetry_Int_Tables_number 221
_symmetry_space_group_name_Hall '-P 4 2 3'
_cell_length_a 5.427
_cell_length_b 5.427
_cell_length_c 5.427
_cell_angle_alpha 90.00
_cell_angle_beta 90.00
_cell_angle_gamma 90.00
loop_
_atom_site_label
_atom_site_type_symbol
_atom_site_fract_x
_atom_site_fract_y
_atom_site_fract_z
Hf1 Hf 0.000 0.000 0.000
Sn1 Sn 0.000 0.000 0.500
Rh1 Rh 0.500 0.500 0.500
```

---

*b*
Entry from Alexandria via LeMat-Bulk: a relaxed structure of HfSn3Rh (PBE).

```
data_HfSn3Rh
_chemical_formula_sum 'Hf1 Sn3 Rh1'
_symmetry_space_group_name_H-M 'P m -3 m'
_symmetry_Int_Tables_number 221
_symmetry_space_group_name_Hall '-P 4 2 3'
_cell_length_a 5.075
_cell_length_b 5.075
_cell_length_c 5.075
_cell_angle_alpha 90.00
_cell_angle_beta 90.00
_cell_angle_gamma 90.00
loop_
_atom_site_label
_atom_site_type_symbol
_atom_site_fract_x
_atom_site_fract_y
_atom_site_fract_z
Hf1 Hf 0.000 0.000 0.000
Sn1 Sn 0.000 0.500 0.500
Rh1 Rh 0.500 0.500 0.500
```

---

Name the least stable of them. *a*.

---

*a*
Entry from Alexandria via LeMat-Bulk: a relaxed structure of Hf2Sn2Rh (PBE).

```
data_Hf2Sn2Rh
_chemical_formula_sum 'Hf4 Sn4 Rh2'
_symmetry_space_group_name_H-M 'I 4/m m m'
_symmetry_Int_Tables_number 139
_symmetry_space_group_name_Hall '-I 4 2'
_cell_length_a 3.876
_cell_length_b 3.876
_cell_length_c 14.916
_cell_angle_alpha 90.00
_cell_angle_beta 90.00
_cell_angle_gamma 90.00
loop_
_atom_site_label
_atom_site_type_symbol
_atom_site_fract_x
_atom_site_fract_y
_atom_site_fract_z
Hf1 Hf 0.000 0.500 0.250
Sn1 Sn 0.000 0.000 0.091
Rh1 Rh 0.000 0.000 0.500
```

---

*b*
Entry from Alexandria via LeMat-Bulk: a relaxed structure of Hf2Sn2Rh (PBE).

```
data_Hf2Sn2Rh
_chemical_formula_sum 'Hf4 Sn4 Rh2'
_symmetry_space_group_name_H-M 'P 4/m b m'
_symmetry_Int_Tables_number 127
_symmetry_space_group_name_Hall '-P 4 2ab'
_cell_length_a 6.843
_cell_length_b 6.843
_cell_length_c 4.445
_cell_angle_alpha 90.00
_cell_angle_beta 90.00
_cell_angle_gamma 90.00
loop_
_atom_site_label
_atom_site_type_symbol
_atom_site_fract_x
_atom_site_fract_y
_atom_site_fract_z
Hf1 Hf 0.161 0.339 0.000
Sn1 Sn 0.147 0.647 0.500
Rh1 Rh 0.000 0.000 0.500
```

---

Name the least stable of them. *a*.

---

*a*
Entry from Alexandria via LeMat-Bulk: a relaxed structure of HfSnRh3 (PBE).

```
data_HfSnRh3
_chemical_formula_sum 'Hf1 Sn1 Rh3'
_symmetry_space_group_name_H-M 'P m -3 m'
_symmetry_Int_Tables_number 221
_symmetry_space_group_name_Hall '-P 4 2 3'
_cell_length_a 4.744
_cell_length_b 4.744
_cell_length_c 4.744
_cell_angle_alpha 90.00
_cell_angle_beta 90.00
_cell_angle_gamma 90.00
loop_
_atom_site_label
_atom_site_type_symbol
_atom_site_fract_x
_atom_site_fract_y
_atom_site_fract_z
Hf1 Hf 0.000 0.000 0.000
Sn1 Sn 0.500 0.500 0.500
Rh1 Rh 0.000 0.500 0.500
```

---

*b*
Entry from Alexandria via LeMat-Bulk: a relaxed structure of HfSnRh3 (PBE).

```
data_HfSnRh3
_chemical_formula_sum 'Hf1 Sn1 Rh3'
_symmetry_space_group_name_H-M 'P m -3 m'
_symmetry_Int_Tables_number 221
_symmetry_space_group_name_Hall '-P 4 2 3'
_cell_length_a 4.786
_cell_length_b 4.786
_cell_length_c 4.786
_cell_angle_alpha 90.00
_cell_angle_beta 90.00
_cell_angle_gamma 90.00
loop_
_atom_site_label
_atom_site_type_symbol
_atom_site_fract_x
_atom_site_fract_y
_atom_site_fract_z
Hf1 Hf 0.000 0.000 0.000
Sn1 Sn 0.500 0.500 0.500
Rh1 Rh 0.000 0.000 0.500
```

---

Name the least stable of them. *a*.

---

*a*
Entry from Alexandria via LeMat-Bulk: a relaxed structure of SrHfRh2 (PBE).

```
data_SrHfRh2
_chemical_formula_sum 'Sr1 Hf1 Rh2'
_symmetry_space_group_name_H-M 'P 4/m m m'
_symmetry_Int_Tables_number 123
_symmetry_space_group_name_Hall '-P 4 2'
_cell_length_a 3.297
_cell_length_b 3.297
_cell_length_c 7.469
_cell_angle_alpha 90.00
_cell_angle_beta 90.00
_cell_angle_gamma 90.00
loop_
_atom_site_label
_atom_site_type_symbol
_atom_site_fract_x
_atom_site_fract_y
_atom_site_fract_z
Sr1 Sr 0.000 0.000 0.000
Hf1 Hf 0.000 0.000 0.500
Rh1 Rh 0.500 0.500 0.300
```

---

*b*
Entry from Alexandria via LeMat-Bulk: a relaxed structure of SrHfRh2 (PBE).

```
data_SrHfRh2
_chemical_formula_sum 'Sr4 Hf4 Rh8'
_symmetry_space_group_name_H-M 'I -4 2 d'
_symmetry_Int_Tables_number 122
_symmetry_space_group_name_Hall 'I -4 2bw'
_cell_length_a 7.412
_cell_length_b 7.412
_cell_length_c 6.550
_cell_angle_alpha 90.00
_cell_angle_beta 90.00
_cell_angle_gamma 90.00
loop_
_atom_site_label
_atom_site_type_symbol
_atom_site_fract_x
_atom_site_fract_y
_atom_site_fract_z
Sr1 Sr 0.000 0.000 0.000
Hf1 Hf 0.000 0.000 0.500
Rh1 Rh 0.206 0.750 0.625
```

---

*c*
Entry from Alexandria via LeMat-Bulk: a relaxed structure of SrHfRh2 (PBE).

```
data_SrHfRh2
_chemical_formula_sum 'Sr4 Hf4 Rh8'
_symmetry_space_group_name_H-M 'F m -3 m'
_symmetry_Int_Tables_number 225
_symmetry_space_group_name_Hall '-F 4 2 3'
_cell_length_a 6.804
_cell_length_b 6.804
_cell_length_c 6.804
_cell_angle_alpha 90.00
_cell_angle_beta 90.00
_cell_angle_gamma 90.00
loop_
_atom_site_label
_atom_site_type_symbol
_atom_site_fract_x
_atom_site_fract_y
_atom_site_fract_z
Sr1 Sr 0.000 0.000 0.000
Hf1 Hf 0.000 0.000 0.500
Rh1 Rh 0.250 0.250 0.250
```

---

Name the least stable of them. *b*.

---

*a*
Entry from Alexandria via LeMat-Bulk: a relaxed structure of Sr2HfRh (PBE).

```
data_Sr2HfRh
_chemical_formula_sum 'Sr8 Hf4 Rh4'
_symmetry_space_group_name_H-M 'I -4 2 d'
_symmetry_Int_Tables_number 122
_symmetry_space_group_name_Hall 'I -4 2bw'
_cell_length_a 11.369
_cell_length_b 11.369
_cell_length_c 4.902
_cell_angle_alpha 90.00
_cell_angle_beta 90.00
_cell_angle_gamma 90.00
loop_
_atom_site_label
_atom_site_type_symbol
_atom_site_fract_x
_atom_site_fract_y
_atom_site_fract_z
Sr1 Sr 0.092 0.250 0.125
Hf1 Hf 0.000 0.000 0.500
Rh1 Rh 0.000 0.000 0.000
```

---

*b*
Entry from Alexandria via LeMat-Bulk: a relaxed structure of Sr2HfRh (PBE).

```
data_Sr2HfRh
_chemical_formula_sum 'Sr8 Hf4 Rh4'
_symmetry_space_group_name_H-M 'F m -3 m'
_symmetry_Int_Tables_number 225
_symmetry_space_group_name_Hall '-F 4 2 3'
_cell_length_a 7.628
_cell_length_b 7.628
_cell_length_c 7.628
_cell_angle_alpha 90.00
_cell_angle_beta 90.00
_cell_angle_gamma 90.00
loop_
_atom_site_label
_atom_site_type_symbol
_atom_site_fract_x
_atom_site_fract_y
_atom_site_fract_z
Sr1 Sr 0.250 0.250 0.250
Hf1 Hf 0.000 0.000 0.000
Rh1 Rh 0.000 0.000 0.500
```

---

Name the least stable of them. *b*.